# 1
This record from the Alexandria database describes a relaxed structure of ScTe2Cl. The functional is PBE.

a = 5.1938 Å, b = 5.1938 Å, c = 5.1938 Å
α = 60.00°, β = 60.00°, γ = 60.00°
With the nearest neighbours (Å) after each atom.
Atoms (fractional coordinates):
Sc  0.0000  0.0000  0.0000  4 Te 3.18, 4 Cl 3.18
Te  0.5000  0.5000  0.5000  4 Cl 3.18, 4 Te 3.18
Te  0.7500  0.7500  0.7500  4 Te 3.18, 4 Sc 3.18
Cl  0.2500  0.2500  0.2500  4 Te 3.18, 4 Sc 3.18

E_form (uncorrected) in eV/atom: -0.4337
Symmetry: F-43m, No. 216
Magnetic moment in μB per atom: 0.00


# 2
This record from the Alexandria database describes a relaxed structure of ScTe2Cl. The functional is PBE.

a = 5.3502 Å, b = 5.3502 Å, c = 4.1333 Å
α = 90.40°, β = 90.40°, γ = 116.01°
With the nearest neighbours (Å) after each atom.
Atoms (fractional coordinates):
Sc  0.0000  0.0000  0.0000  2 Cl 2.83
Te  0.0000  0.5000  0.5000  2 Te 2.83
Te  0.5000  0.0000  0.5000  2 Te 2.83
Cl  0.5000  0.5000  0.0000  2 Sc 2.83

E_form (uncorrected) in eV/atom: -0.5683
Symmetry: C2/m, No. 12
Magnetic moment in μB per atom: 0.00


# 3
This record from the Alexandria database describes a relaxed structure of Sc2TeCl. The functional is PBE.

a = 3.6198 Å, b = 3.6198 Å, c = 8.4016 Å
α = 90.00°, β = 90.00°, γ = 118.68°
With the nearest neighbours (Å) after each atom.
Atoms (fractional coordinates):
Sc  0.0000  0.0000  0.2505  2 Cl 2.79, 2 Te 2.80
Sc  0.0000  0.0000  0.7495  2 Cl 2.79, 2 Te 2.80
Te  0.5000  0.5000  0.0000  4 Sc 2.80
Cl  0.5000  0.5000  0.5000  4 Sc 2.79

E_form (uncorrected) in eV/atom: -0.7983
Symmetry: Cmmm, No. 65
Magnetic moment in μB per atom: 0.00


# 4
This record from the Alexandria database describes a relaxed structure of Sc3TeCl7. The functional is PBE.

a = 7.5906 Å, b = 7.5906 Å, c = 9.3700 Å
α = 126.01°, β = 126.01°, γ = 59.96°
With the nearest neighbours (Å) after each atom.
Atoms (fractional coordinates):
Sc  0.0000  0.0000  0.0000  5 Cl 2.51-2.68
Sc  0.9996  0.4896  0.9987  5 Cl 2.51-2.68
Sc  0.4896  0.9996  0.9987  5 Cl 2.51-2.68
Te  0.2944  0.2944  0.2706  3 Sc 2.84-2.85
Cl  0.2193  0.2193  0.7959  2 Sc 2.51
Cl  0.2201  0.7557  0.7975  2 Sc 2.51
Cl  0.2335  0.7636  0.1868  2 Sc 2.51
Cl  0.7255  0.7255  0.7830  3 Sc 2.68
Cl  0.7557  0.2201  0.7975  2 Sc 2.51
Cl  0.7636  0.2335  0.1868  2 Sc 2.51
Cl  0.7642  0.7642  0.1863  2 Sc 2.51

E_form (uncorrected) in eV/atom: -1.9581
Symmetry: Cm, No. 8
Magnetic moment in μB per atom: 0.00


# 5
This record from the Alexandria database describes a relaxed structure of Sc2TeCl. The functional is PBE.

a = 8.1552 Å, b = 8.1552 Å, c = 8.1552 Å
α = 139.29°, β = 139.29°, γ = 58.93°
With the nearest neighbours (Å) after each atom.
Atoms (fractional coordinates):
Sc  0.0674  0.6250  0.9424  2 Cl 2.52
Sc  0.3750  0.3174  0.4424  2 Cl 2.52
Sc  0.6826  0.1250  0.0576  2 Cl 2.52
Sc  0.8750  0.9326  0.5576  2 Cl 2.52
Te  0.2500  0.7500  0.5000  4 Sc 2.86
Te  0.5000  0.5000  0.0000  4 Sc 2.86
Cl  0.0000  0.0000  0.0000  4 Sc 2.52
Cl  0.7500  0.2500  0.5000  4 Sc 2.52

E_form (uncorrected) in eV/atom: -0.7865
Symmetry: I-42d, No. 122
Magnetic moment in μB per atom: 0.00


# 6
This record from the Alexandria database describes a relaxed structure of ScTeCl. The functional is PBE.

a = 4.9961 Å, b = 4.9961 Å, c = 4.9961 Å
α = 60.00°, β = 60.00°, γ = 60.00°
With the nearest neighbours (Å) after each atom.
Atoms (fractional coordinates):
Sc  0.0000  0.0000  0.0000  4 Te 3.06
Te  0.2500  0.2500  0.2500  4 Cl 3.06, 4 Sc 3.06
Cl  0.5000  0.5000  0.5000  4 Te 3.06

E_form (uncorrected) in eV/atom: -0.6527
Symmetry: F-43m, No. 216
Magnetic moment in μB per atom: 0.00


# 7
This record from the Alexandria database describes a relaxed structure of ScTe2Cl. The functional is PBE.

a = 5.7551 Å, b = 5.7551 Å, c = 5.7551 Å
α = 133.55°, β = 133.55°, γ = 67.79°
With the nearest neighbours (Å) after each atom.
Atoms (fractional coordinates):
Sc  0.0000  0.0000  0.0000  4 Cl 3.21, 8 Te 3.29
Te  0.2500  0.7500  0.5000  4 Te 3.21, 4 Cl 3.29, 4 Sc 3.29
Te  0.7500  0.2500  0.5000  4 Te 3.21, 4 Cl 3.29, 4 Sc 3.29
Cl  0.5000  0.5000  0.0000  4 Sc 3.21, 8 Te 3.29

E_form (uncorrected) in eV/atom: -0.6052
Symmetry: I4/mmm, No. 139
Magnetic moment in μB per atom: 0.00


# 8
This record from the Alexandria database describes a relaxed structure of Sc2TeCl. The functional is PBE.

a = 3.6516 Å, b = 4.8869 Å, c = 5.4579 Å
α = 90.00°, β = 109.52°, γ = 90.00°
With the nearest neighbours (Å) after each atom.
Atoms (fractional coordinates):
Sc  0.0000  0.0000  0.0000  2 Cl 2.75
Sc  0.2940  0.5000  0.5904  2 Cl 2.44
Te  0.5747  0.5000  0.1518  7 Sc 2.89-3.15
Cl  0.3005  0.0000  0.5998  2 Sc 2.44

E_form (uncorrected) in eV/atom: -1.0404
Symmetry: Pm, No. 6
Magnetic moment in μB per atom: 0.00


# 9
This record from the Alexandria database describes a relaxed structure of Sc2Te2Cl. The functional is PBE.

a = 7.0696 Å, b = 7.0696 Å, c = 7.0696 Å
α = 137.12°, β = 137.12°, γ = 62.26°
With the nearest neighbours (Å) after each atom.
Atoms (fractional coordinates):
Sc  0.1436  0.1436  0.0000  4 Te 2.89
Sc  0.8564  0.8564  0.0000  4 Te 2.89
Te  0.2500  0.7500  0.5000  4 Sc 2.89
Te  0.7500  0.2500  0.5000  4 Sc 2.89
Cl  0.5000  0.5000  0.0000  8 Te 3.98, 10 Sc 4.05-4.31

E_form (uncorrected) in eV/atom: -0.7562
Symmetry: I4/mmm, No. 139
Magnetic moment in μB per atom: 0.20


# 10
This record from the Alexandria database describes a relaxed structure of Sc2TeCl. The functional is PBE.

a = 6.6938 Å, b = 6.6938 Å, c = 6.6938 Å
α = 34.93°, β = 34.93°, γ = 34.93°
With the nearest neighbours (Å) after each atom.
Atoms (fractional coordinates):
Sc  0.2325  0.2325  0.2325  3 Cl 2.63
Sc  0.7675  0.7675  0.7675  3 Cl 2.63
Te  0.0000  0.0000  0.0000  6 Sc 3.00
Cl  0.5000  0.5000  0.5000  6 Sc 2.63

E_form (uncorrected) in eV/atom: -1.0227
Symmetry: R-3m, No. 166
Magnetic moment in μB per atom: 0.00


# 11
This record from the Alexandria database describes a relaxed structure of ScTe2Cl. The functional is PBE.

a = 10.9375 Å, b = 10.9375 Å, c = 10.9375 Å
α = 18.00°, β = 18.00°, γ = 18.00°
With the nearest neighbours (Å) after each atom.
Atoms (fractional coordinates):
Sc  0.0000  0.0000  0.0000  2 Te 2.85
Te  0.0884  0.0884  0.0884  1 Sc 2.85
Te  0.9116  0.9116  0.9116  1 Sc 2.85
Cl  0.5000  0.5000  0.5000  6 Te 3.21, 6 Cl 3.42

E_form (uncorrected) in eV/atom: 0.1199
Symmetry: R-3m, No. 166
Magnetic moment in μB per atom: 0.00


# 12
This record from the Alexandria database describes a relaxed structure of ScTe3Cl. The functional is PBE.

a = 5.3344 Å, b = 5.3344 Å, c = 5.3344 Å
α = 90.00°, β = 90.00°, γ = 90.00°
With the nearest neighbours (Å) after each atom.
Atoms (fractional coordinates):
Sc  0.0000  0.0000  0.0000  12 Te 3.77
Te  0.0000  0.5000  0.5000  2 Cl 2.67
Te  0.5000  0.0000  0.5000  2 Cl 2.67
Te  0.5000  0.5000  0.0000  2 Cl 2.67
Cl  0.5000  0.5000  0.5000  6 Te 2.67

E_form (uncorrected) in eV/atom: 0.3434
Symmetry: Pm-3m, No. 221
Magnetic moment in μB per atom: 0.00


Question: What is the formula in the fifth record?
Answer: Sc2TeCl


Question: Which value of E_form (uncorrected) does entry 9 give?
Answer: -0.7562 eV/atom


Question: Which formula does entry 8 have?
Answer: Sc2TeCl